An optimized crystal structure of ScV2BiO8, computed with PBE with a Hubbard U.

Computed properties:
E ... -0.2744 Ha/atom

abc: 5.7237 5.7237 6.4656
angles: 90.00 90.00 120.00
Closest atoms and distances in Å follow each position.
Atoms (fractional coordinates):
V 0.3333 0.6667 0.7928  4 O 1.65-1.78
V 0.6667 0.3333 0.2072  4 O 1.65-1.78
O 0.6667 0.3333 0.9520  1 V 1.65
O 0.8399 0.6787 0.2842  1 V 1.78
O 0.6787 0.8387 0.7158  1 V 1.78
O 0.8387 0.1601 0.2842  1 V 1.78
O 0.3333 0.6667 0.0480  1 V 1.65
O 0.3213 0.1613 0.2842  1 V 1.78
O 0.1601 0.3213 0.7158  1 V 1.78
O 0.1613 0.8399 0.7158  1 V 1.78
Bi 0.0000 0.0000 0.0000  6 O 2.43
Sc 0.0000 0.0000 0.5000  6 O 2.12